1.
The following is a DFT calculation (PBE with a Hubbard U) of a geometry-optimized PuCo2O6 structure.

Lattice parameters (Å, degrees): 4.7491 4.7491 9.1170 90.00 90.00 90.00
Sites, in units of the cell vectors:
Pu: 0.0000 0.0000 0.0000
Pu: 0.5000 0.5000 0.5000
Co: 0.0000 0.0000 0.3330
Co: 0.0000 0.0000 0.6670
Co: 0.5000 0.5000 0.1670
Co: 0.5000 0.5000 0.8330
O: 0.1881 0.1881 0.5000
O: 0.1962 0.1962 0.1679
O: 0.1962 0.1962 0.8321
O: 0.3038 0.6962 0.3321
O: 0.3038 0.6962 0.6679
O: 0.3119 0.6881 0.0000
O: 0.6881 0.3119 0.0000
O: 0.6962 0.3038 0.3321
O: 0.6962 0.3038 0.6679
O: 0.8038 0.8038 0.1679
O: 0.8038 0.8038 0.8321
O: 0.8119 0.8119 0.5000

Values from the calculation:
Theoretical density ... 7.40 g/cm³
Electronic total energy ... -7.642 eV per atom
DOS at the Fermi energy ... 5.542 states/eV per cell

2.
The following is a DFT calculation (PBE with a Hubbard U) of a geometry-optimized PuCoO6 structure.

Lattice parameters (Å, degrees): 5.3696 5.3696 5.5859 98.60 98.60 124.79
Sites, in units of the cell vectors:
Pu: 0.0000 0.0000 0.0000
Co: 0.0000 0.0000 0.5000
O: 0.0157 0.2809 0.2585
O: 0.2809 0.0157 0.2585
O: 0.2963 0.2963 0.7649
O: 0.7037 0.7037 0.2351
O: 0.7191 0.9843 0.7415
O: 0.9843 0.7191 0.7415

Values from the calculation:
Theoretical density ... 5.29 g/cm³
Electronic total energy ... -7.263 eV per atom
DOS at the Fermi energy ... 1.856 states/eV per cell

3.
The following is a DFT calculation (PBE with a Hubbard U) of a geometry-optimized Rb3Pu2CoO9 structure.

Lattice parameters (Å, degrees): 5.9436 5.9436 7.2899 90.00 90.00 120.00
Sites, in units of the cell vectors:
Rb: 0.0000 0.0000 0.0000
Rb: 0.3333 0.6667 0.6605
Rb: 0.6667 0.3333 0.3395
Pu: 0.3333 0.6667 0.1757
Pu: 0.6667 0.3333 0.8243
Co: 0.0000 0.0000 0.5000
O: 0.0000 0.5000 0.0000
O: 0.1707 0.3415 0.3302
O: 0.1707 0.8293 0.3302
O: 0.3415 0.1707 0.6698
O: 0.5000 0.0000 0.0000
O: 0.5000 0.5000 0.0000
O: 0.6585 0.8293 0.3302
O: 0.8293 0.1707 0.6698
O: 0.8293 0.6585 0.6698

Values from the calculation:
Theoretical density ... 7.05 g/cm³
Electronic total energy ... -7.423 eV per atom
DOS at the Fermi energy ... 12.194 states/eV per cell

4.
The following is a DFT calculation (PBE with a Hubbard U) of a geometry-optimized Rb2Pu3CoO12 structure.

Lattice parameters (Å, degrees): 7.2812 7.2812 7.2812 64.66 64.66 64.66
Sites, in units of the cell vectors:
Rb: 0.1296 0.1296 0.1296
Rb: 0.8704 0.8704 0.8704
Pu: 0.0000 0.5000 0.5000
Pu: 0.5000 0.0000 0.5000
Pu: 0.5000 0.5000 0.0000
Co: 0.5000 0.5000 0.5000
O: 0.1734 0.1734 0.5589
O: 0.1734 0.5589 0.1734
O: 0.2020 0.5574 0.5574
O: 0.4411 0.8266 0.8266
O: 0.4426 0.4426 0.7980
O: 0.4426 0.7980 0.4426
O: 0.5574 0.2020 0.5574
O: 0.5574 0.5574 0.2020
O: 0.5589 0.1734 0.1734
O: 0.7980 0.4426 0.4426
O: 0.8266 0.4411 0.8266
O: 0.8266 0.8266 0.4411

Values from the calculation:
Theoretical density ... 6.37 g/cm³
Electronic total energy ... -8.240 eV per atom
DOS at the Fermi energy ... 6.909 states/eV per cell

5.
The following is a DFT calculation (PBE with a Hubbard U) of a geometry-optimized RbPuCoO6 structure.

Lattice parameters (Å, degrees): 5.1475 5.1475 6.4956 90.21 90.21 119.30
Sites, in units of the cell vectors:
Rb: 0.0000 0.0000 0.0000
Pu: 0.6656 0.3344 0.5000
Co: 0.3277 0.6723 0.5000
O: 0.0121 0.3765 0.6640
O: 0.0234 0.6401 0.3320
O: 0.3599 0.9766 0.6680
O: 0.3676 0.3822 0.3330
O: 0.6178 0.6324 0.6670
O: 0.6235 0.9879 0.3360

Values from the calculation:
Theoretical density ... 5.36 g/cm³
Electronic total energy ... -7.241 eV per atom
DOS at the Fermi energy ... 1.397 states/eV per cell

6.
The following is a DFT calculation (PBE with a Hubbard U) of a geometry-optimized RbPu2CoO8 structure.

Lattice parameters (Å, degrees): 5.8019 5.8019 7.4197 90.00 90.00 120.00
Sites, in units of the cell vectors:
Rb: 0.0000 0.0000 0.0000
Pu: 0.3333 0.6667 0.2418
Pu: 0.6667 0.3333 0.7582
Co: 0.0000 0.0000 0.5000
O: 0.1537 0.3074 0.3541
O: 0.1537 0.8463 0.3541
O: 0.3074 0.1537 0.6459
O: 0.3333 0.6667 0.9853
O: 0.6667 0.3333 0.0147
O: 0.6926 0.8463 0.3541
O: 0.8463 0.1537 0.6459
O: 0.8463 0.6926 0.6459

Values from the calculation:
Theoretical density ... 5.84 g/cm³
Electronic total energy ... -7.861 eV per atom
DOS at the Fermi energy ... 13.924 states/eV per cell

7.
The following is a DFT calculation (PBE with a Hubbard U) of a geometry-optimized Rb2PuCo2O6 structure.

Lattice parameters (Å, degrees): 6.6356 6.6356 6.6356 54.55 54.55 54.55
Sites, in units of the cell vectors:
Rb: 0.2245 0.2245 0.2245
Rb: 0.7755 0.7755 0.7755
Pu: 0.0000 0.0000 0.0000
Co: 0.4265 0.4265 0.4265
Co: 0.5735 0.5735 0.5735
O: 0.2301 0.2301 0.7539
O: 0.2301 0.7539 0.2301
O: 0.2461 0.7699 0.7699
O: 0.7539 0.2301 0.2301
O: 0.7699 0.2461 0.7699
O: 0.7699 0.7699 0.2461

Values from the calculation:
Theoretical density ... 5.79 g/cm³
Electronic total energy ... -6.799 eV per atom
DOS at the Fermi energy ... 2.021 states/eV per cell

8.
The following is a DFT calculation (PBE with a Hubbard U) of a geometry-optimized Rb2PuCoO4 structure.

Lattice parameters (Å, degrees): 5.6903 3.5035 6.7710 90.00 106.66 90.00
Sites, in units of the cell vectors:
Rb: 0.0000 0.0000 0.0000
Rb: 0.5000 0.5000 0.0000
Pu: 0.0000 0.5000 0.5000
Co: 0.5000 0.0000 0.5000
O: 0.2276 0.0000 0.6771
O: 0.2696 0.5000 0.3281
O: 0.7304 0.5000 0.6719
O: 0.7724 0.0000 0.3229

Values from the calculation:
Theoretical density ... 6.91 g/cm³
Electronic total energy ... -6.955 eV per atom
DOS at the Fermi energy ... 4.862 states/eV per cell

9.
The following is a DFT calculation (PBE with a Hubbard U) of a geometry-optimized PuCo2RhO8 structure.

Lattice parameters (Å, degrees): 5.7423 5.7423 5.7423 111.02 111.02 106.41
Sites, in units of the cell vectors:
Pu: 0.0000 0.0000 0.0000
Co: 0.5000 0.5000 0.0000
Co: 0.7500 0.2500 0.5000
Rh: 0.2500 0.7500 0.5000
O: 0.2990 0.1036 0.8046
O: 0.2990 0.4944 0.1954
O: 0.3503 0.0457 0.3046
O: 0.5056 0.7010 0.8046
O: 0.7411 0.0457 0.6954
O: 0.8964 0.7010 0.1954
O: 0.9543 0.2589 0.3046
O: 0.9543 0.6497 0.6954

Values from the calculation:
Theoretical density ... 6.77 g/cm³
Electronic total energy ... -7.011 eV per atom
DOS at the Fermi energy ... 9.089 states/eV per cell

10.
The following is a DFT calculation (PBE with a Hubbard U) of a geometry-optimized PuCoRuO6 structure.

Lattice parameters (Å, degrees): 5.0703 5.0703 8.9173 90.00 90.00 120.00
Sites, in units of the cell vectors:
Pu: 0.3333 0.6667 0.2500
Pu: 0.6667 0.3333 0.7500
Co: 0.3333 0.6667 0.7500
Co: 0.6667 0.3333 0.2500
Ru: 0.0000 0.0000 0.0000
Ru: 0.0000 0.0000 0.5000
O: 0.0213 0.3418 0.6268
O: 0.0213 0.6795 0.8732
O: 0.3205 0.3418 0.8732
O: 0.3205 0.9787 0.6268
O: 0.3418 0.0213 0.1268
O: 0.3418 0.3205 0.3732
O: 0.6582 0.6795 0.6268
O: 0.6582 0.9787 0.8732
O: 0.6795 0.0213 0.3732
O: 0.6795 0.6582 0.1268
O: 0.9787 0.3205 0.1268
O: 0.9787 0.6582 0.3732

Values from the calculation:
Theoretical density ... 8.36 g/cm³
Electronic total energy ... -8.044 eV per atom
DOS at the Fermi energy ... 10.420 states/eV per cell

11.
The following is a DFT calculation (PBE with a Hubbard U) of a geometry-optimized PuCo2SbO8 structure.

Lattice parameters (Å, degrees): 5.7657 5.7657 5.7657 110.44 110.44 107.54
Sites, in units of the cell vectors:
Pu: 0.0000 0.0000 0.0000
Co: 0.2500 0.7500 0.5000
Co: 0.5000 0.5000 0.0000
Sb: 0.7500 0.2500 0.5000
O: 0.0354 0.3448 0.3094
O: 0.0354 0.7259 0.6906
O: 0.1108 0.3069 0.8039
O: 0.2741 0.9646 0.3094
O: 0.5031 0.3069 0.1961
O: 0.6552 0.9646 0.6906
O: 0.6931 0.4969 0.8039
O: 0.6931 0.8892 0.1961

Values from the calculation:
Theoretical density ... 6.89 g/cm³
Electronic total energy ... -7.123 eV per atom
DOS at the Fermi energy ... 3.232 states/eV per cell

12.
The following is a DFT calculation (PBE with a Hubbard U) of a geometry-optimized PuScCo2O8 structure.

Lattice parameters (Å, degrees): 5.7605 5.7605 5.7605 109.79 109.79 108.84
Sites, in units of the cell vectors:
Pu: 0.0000 0.0000 0.0000
Sc: 0.2500 0.7500 0.5000
Co: 0.5000 0.5000 0.0000
Co: 0.7500 0.2500 0.5000
O: 0.3134 0.1255 0.8121
O: 0.3134 0.5014 0.1879
O: 0.3414 0.0420 0.2995
O: 0.4986 0.6866 0.8121
O: 0.7425 0.0420 0.7005
O: 0.8745 0.6866 0.1879
O: 0.9580 0.2575 0.2995
O: 0.9580 0.6586 0.7005

Values from the calculation:
Theoretical density ... 6.04 g/cm³
Electronic total energy ... -7.610 eV per atom
DOS at the Fermi energy ... 3.867 states/eV per cell

Q: Look up the theoretical density of the fifth one.
A: 5.36 g/cm³

Q: The lowest DOS at the Fermi energy belongs to which entry?
A: RbPuCoO6

Q: The highest electronic total energy belongs to which entry?
A: Rb2PuCo2O6

Q: Among the records above, which one has the highest DOS at the Fermi energy?
A: RbPu2CoO8